1.
Material: NiWN2O
Method: DFT, PBE with a Hubbard U
State: relaxed

Summary:
The value obtained for the density of states at the Fermi level is 0.421 states/eV per atom. The calculation puts the energy at -30.233 eV for the cell shown. As for the space group: P4/mmm, No. 123. Its crystal system is tetragonal.

Cell and atoms, written as extended XYZ:
```
5
Lattice="3.9923 0.0000 0.0000 0.0000 3.9923 0.0000 0.0000 0.0000 3.8531" Properties=species:S:1:pos:R:3 pbc="T T T"
Ni 0.0000 0.0000 0.0000
W 1.9962 1.9962 1.9265
N 0.0000 1.9962 1.9265
N 1.9962 0.0000 1.9265
O 1.9962 1.9962 0.0000
```

2.
Material: YNiN2O
Method: DFT, PBE with a Hubbard U
State: relaxed

Summary:
The value obtained for the density of states at the Fermi level is 0.658 states/eV per atom. The calculation puts the energy at -32.027 eV for the cell shown. As for the space group: P4/mmm, No. 123. Its crystal system is tetragonal.

Cell and atoms, written as extended XYZ:
```
5
Lattice="3.7449 0.0000 0.0000 0.0000 3.7449 0.0000 0.0000 0.0000 3.8726" Properties=species:S:1:pos:R:3 pbc="T T T"
Y 0.0000 0.0000 0.0000
Ni 1.8725 1.8725 1.9363
N 0.0000 1.8725 1.9363
N 1.8725 0.0000 1.9363
O 1.8725 1.8725 0.0000
```